Record 1
First-principles (PBE) data for a relaxed Sm3Y3Er4 crystal, as listed in Alexandria via LeMat-Bulk.

Unit cell a=3.6749 b=9.4004 c=9.4004 alpha=90.18 beta=90.00 gamma=90.00
Last column: nearest neighbours and their distance in Å.
Atoms (fractional coordinates):
Er1 0.0000 0.6254 0.3746  6 Sm 3.25-3.39, 1 Er 3.33
Er2 0.0000 0.1253 0.1242  4 Sm 3.25-3.39, 1 Er 3.31, 2 Y 3.38
Er3 0.0000 0.8758 0.8747  4 Sm 3.25-3.39, 1 Er 3.31, 2 Y 3.38
Er4 0.0000 0.3752 0.6248  2 Y 3.25, 1 Er 3.33, 4 Sm 3.38
Y1 0.0000 0.4967 0.9987  4 Y 3.67-3.90, 4 Er 3.69-3.75, 6 Sm 3.93-3.96
Y2 0.5000 0.1737 0.8263  6 Er 3.25-3.38
Y3 0.0000 0.0013 0.5033  4 Y 3.67-3.90, 4 Er 3.69-3.75, 6 Sm 3.93-3.96
Sm1 0.5000 0.3264 0.3265  6 Er 3.25-3.39
Sm2 0.5000 0.8269 0.1731  6 Er 3.25-3.39
Sm3 0.5000 0.6735 0.6736  6 Er 3.25-3.39

Results
space-group type: Amm2
formation energy from the elements: 76 kJ/mol of formula units

Record 2
First-principles (PBE) data for a relaxed LaY3Ho5 crystal, as listed in Alexandria via LeMat-Bulk.

Unit cell a=8.6748 b=8.6748 c=9.8560 alpha=116.11 beta=116.11 gamma=90.00
Last column: nearest neighbours and their distance in Å.
Atoms (fractional coordinates):
La1 0.7500 0.2500 0.5000  4 Ho 3.02
La2 0.2500 0.7500 0.5000  4 Ho 3.02
Ho1 0.0642 0.5642 0.7256  1 La 3.02, 1 Y 3.05
Ho2 0.0000 0.0000 0.0000  6 Y 3.46-3.86, 8 Ho 3.77
Ho3 0.5000 0.5000 0.0000  6 Y 3.46-3.86, 8 Ho 3.77
Ho4 0.6614 0.1614 0.7256  1 La 3.02, 1 Y 3.05
Ho5 0.3386 0.8386 0.2744  1 La 3.02, 1 Y 3.05
Ho6 0.5642 0.6614 0.7256  1 La 3.02, 1 Y 3.05
Ho7 0.8386 0.9358 0.2744  1 La 3.02, 1 Y 3.05
Ho8 0.9358 0.4358 0.2744  1 La 3.02, 1 Y 3.05
Ho9 0.4358 0.3386 0.2744  1 La 3.02, 1 Y 3.05
Ho10 0.1614 0.0642 0.7256  1 La 3.02, 1 Y 3.05
Y1 0.1197 0.3803 0.0000  1 Y 2.94, 2 Ho 3.05
Y2 0.3803 0.8803 0.0000  1 Y 2.94, 2 Ho 3.05
Y3 0.8803 0.6197 0.0000  1 Y 2.94, 2 Ho 3.05
Y4 0.6197 0.1197 0.0000  1 Y 2.94, 2 Ho 3.05
Y5 0.7500 0.7500 0.5000  10 Ho 3.58-3.86
Y6 0.2500 0.2500 0.5000  10 Ho 3.58-3.86

Results
space-group type: I4/mcm
formation energy from the elements: 245 kJ/mol of formula units

Record 3
First-principles (PBE) data for a relaxed BaZn2Cd crystal, as listed in Alexandria via LeMat-Bulk.

Unit cell a=5.2043 b=5.2043 c=10.0401 alpha=74.98 beta=74.98 gamma=90.00
Last column: nearest neighbours and their distance in Å.
Atoms (fractional coordinates):
Zn1 0.3750 0.6250 0.2500  2 Zn 2.60, 2 Cd 2.67
Zn2 0.3750 0.1250 0.2500  2 Zn 2.60, 2 Cd 2.67
Zn3 0.8750 0.6250 0.7500  2 Zn 2.60, 2 Cd 2.67
Zn4 0.3750 0.6250 0.7500  2 Zn 2.60, 2 Cd 2.67
Cd1 0.2500 0.7500 0.5000  4 Zn 2.67
Cd2 0.5000 0.5000 0.0000  4 Zn 2.67
Ba1 0.0000 0.0000 0.0000  4 Cd 3.68, 8 Zn 3.73
Ba2 0.7500 0.2500 0.5000  4 Cd 3.68, 8 Zn 3.73

Results
space-group type: I4_1/amd
formation energy from the elements: -27 kJ/mol of formula units

Record 4
First-principles (PBE) data for a relaxed PmTcN3 crystal, as listed in Alexandria via LeMat-Bulk.

Unit cell a=5.1247 b=7.5444 c=7.5444 alpha=94.63 beta=89.06 gamma=89.06
Last column: nearest neighbours and their distance in Å.
Atoms (fractional coordinates):
N1 0.6438 0.4576 0.2717  1 Tc 1.81
N2 0.4806 0.1381 0.0920  2 Tc 1.92-2.07
N3 0.9766 0.3038 0.8514  1 Tc 1.88
N4 0.8562 0.7283 0.5424  1 Tc 1.81
N5 0.9806 0.0920 0.1381  2 Tc 1.92-2.07
N6 0.0194 0.9080 0.8619  2 Tc 1.92-2.07
N7 0.1438 0.2717 0.4576  1 Tc 1.81
N8 0.5194 0.8619 0.9080  2 Tc 1.92-2.07
N9 0.5234 0.1486 0.6962  1 Tc 1.88
N10 0.0234 0.6962 0.1486  1 Tc 1.88
N11 0.3562 0.5424 0.7283  1 Tc 1.81
N12 0.4766 0.8514 0.3038  1 Tc 1.88
Tc1 0.7500 0.6843 0.3157  4 N 1.81-1.88
Tc2 0.2500 0.9143 0.0857  6 N 1.92-2.11
Tc3 0.7500 0.0857 0.9143  6 N 1.92-2.11
Tc4 0.2500 0.3157 0.6843  4 N 1.81-1.88
Pm1 0.1860 0.3765 0.1585  6 N 2.35-2.59
Pm2 0.8140 0.6235 0.8415  6 N 2.35-2.59
Pm3 0.3140 0.8415 0.6235  6 N 2.35-2.59
Pm4 0.6860 0.1585 0.3765  6 N 2.35-2.59

Results
space-group type: C2/c
uncorrected formation energy: -0.439 eV/atom

Record 5
First-principles (PBE) data for a relaxed KNi2Pt crystal, as listed in Alexandria via LeMat-Bulk.

Unit cell a=4.5884 b=4.5884 c=6.4009 alpha=83.63 beta=83.63 gamma=35.48
Last column: nearest neighbours and their distance in Å.
Atoms (fractional coordinates):
Pt1 0.2500 0.2500 0.2500  6 Ni 2.53-2.62, 2 Pt 2.80
K1 0.7500 0.7500 0.7500  2 K 2.80
Ni1 0.5195 0.5195 0.3908  2 Ni 2.34, 2 Pt 2.53
Ni2 0.9805 0.9805 0.1092  2 Ni 2.34, 2 Pt 2.53

Results
space-group type: C2/m
formation energy from the elements: 121 kJ/mol of formula units

Record 6
First-principles (PBE) data for a relaxed Ti6HN crystal, as listed in Alexandria via LeMat-Bulk.

Unit cell a=5.1427 b=5.1422 c=5.6199 alpha=62.78 beta=62.78 gamma=60.02
Last column: nearest neighbours and their distance in Å.
Atoms (fractional coordinates):
Ti1 0.4123 0.7623 0.7423  1 N 2.08, 1 H 2.09
Ti2 0.5877 0.2377 0.2577  1 N 2.08, 1 H 2.09
Ti3 0.0833 0.4122 0.7421  1 N 2.08, 1 H 2.09
Ti4 0.2374 0.9173 0.2578  1 N 2.08, 1 H 2.10
Ti5 0.7626 0.0827 0.7422  1 N 2.08, 1 H 2.10
Ti6 0.9167 0.5878 0.2579  1 N 2.08, 1 H 2.09
N1 0.0000 0.0000 0.0000  6 Ti 2.08
H1 0.5000 0.5000 0.5000  6 Ti 2.09-2.10

Results
space-group type: R-3

| no. | DFT total energy (eV/atom) |
| --- | --- |
| 1 | -5.10 |
| 2 | -4.96 |
| 3 | -1.42 |
| 4 | -8.46 |
| 5 | -4.36 |
| 6 | -7.95 |